## LaNd5Er2Th (PBE)

Data for crystalline LaNd5Er2Th at its relaxed geometry.

- calculated total energy (eV/atom) = -4.874
- calculated density (g/cm³) = 7.6
- energy of formation (eV per formula unit) = 1.44
- D(E_F) (states/eV per cell) = 26.041
- magnetic moment (μB/f.u.) = 0.000
- space group = Cmc2_1

Structure (POSCAR):
```
LaNd5Er2Th
1.0
2.8683 -10.1835 0.0000
2.8683 10.1835 0.0000
0.0000 0.0000 10.6399
La Nd Er Th
2 10 4 2
Cartesian
2.8683 8.4381 5.3200
2.8683 -8.4381 0.0000
2.8683 9.7224 8.4493
2.8683 7.8482 0.8646
2.8683 5.9363 8.0484
2.8683 5.6616 3.9338
2.8683 0.3160 0.8349
2.8683 -0.3160 6.1549
2.8683 -5.6616 9.2538
2.8683 -5.9363 2.7284
2.8683 -7.8482 6.1846
2.8683 -9.7224 3.1293
2.8683 2.3606 3.9588
2.8683 2.2844 8.4125
2.8683 -2.2844 3.0926
2.8683 -2.3606 9.2788
2.8683 4.0470 0.7182
2.8683 -4.0470 6.0382
```

---

## Mg2PBr (PBE)

Data for crystalline Mg2PBr at its relaxed geometry.

- calculated total energy (eV/atom) = -3.298
- calculated density (g/cm³) = 2.9
- relative energy among the computed polymorphs (kcal/mol of atoms) = 3.81
- formation energy from raw total energies (eV/atom) = -0.73
- magnetic moment (μB/f.u.) = 0.000
- space group = Amm2

Structure (POSCAR):
```
Mg2PBr
1.0
5.0864 0.0000 0.0000
0.0000 2.6738 3.3667
0.0000 -2.6738 3.3667
Mg P Br
2 1 1
Cartesian
0.0000 0.0000 0.0000
2.5432 0.0000 2.8179
0.0000 0.0000 2.5617
2.5432 0.0000 5.5908
```

---

## Pm3Ho5Sc2 (PBE)

Data for crystalline Pm3Ho5Sc2 at its relaxed geometry.

- calculated total energy (eV/atom) = -4.940
- calculated density (g/cm³) = 7.3
- energy of formation (eV per formula unit) = 0.40
- D(E_F) (states/eV per cell) = 28.684
- magnetic moment (μB/f.u.) = 0.000
- space group = P-1

Structure (POSCAR):
```
Pm3Ho5Sc2
1.0
9.2713 0.0000 0.0000
-3.9763 8.3837 0.0000
-2.6482 -4.1881 7.8627
Pm Ho Sc
6 10 4
Cartesian
-0.3019 -1.2224 2.7574
-1.6765 -0.4210 7.4830
-2.3256 2.9136 6.6782
4.9724 1.2820 1.1844
4.3233 4.6166 0.3797
2.9487 5.4180 5.1053
-3.6486 3.7800 3.5250
-0.9701 2.1452 1.9699
1.6659 0.4067 0.4190
1.0288 -2.0685 5.8887
-0.3305 4.6013 4.3041
2.9773 -0.4058 3.5585
1.6180 6.2641 1.9740
0.9809 3.7889 7.4437
3.6169 2.0504 5.8928
6.2954 0.4156 4.3377
-1.6676 5.4356 1.1738
0.3604 1.2929 5.0737
2.2865 2.9027 2.7890
4.3144 -1.2400 6.6888
```

---

## Ti2AsPN (PBE)

Data for crystalline Ti2AsPN at its relaxed geometry.

- calculated total energy (eV/atom) = -6.866
- calculated density (g/cm³) = 4.7
- D(E_F) (states/eV per cell) = 2.753
- formation energy from raw total energies (eV/atom) = -0.03
- magnetic moment (μB/f.u.) = 0.000
- space group = P4/mmm

Structure (POSCAR):
```
Ti2AsPN
1.0
4.6959 0.0000 0.0000
0.0000 4.6959 0.0000
0.0000 0.0000 3.4456
Ti As P N
2 1 1 1
Cartesian
0.0000 2.3480 0.0000
2.3480 0.0000 0.0000
0.0000 0.0000 1.7228
2.3480 2.3480 0.0000
2.3480 2.3480 1.7228
```

---

## LiMgZn5Ga2 (PBE)

Data for crystalline LiMgZn5Ga2 at its relaxed geometry.

- calculated total energy (eV/atom) = -1.820
- calculated density (g/cm³) = 5.3
- energy of formation (eV per formula unit) = -0.45
- D(E_F) (states/eV per cell) = 2.096
- magnetic moment (μB/f.u.) = 0.000
- space group = P4/mmm

Structure (POSCAR):
```
LiMgZn5Ga2
1.0
3.9919 0.0000 0.0000
0.0000 3.9919 0.0000
0.0000 0.0000 9.8773
Li Mg Zn Ga
1 1 5 2
Cartesian
0.0000 0.0000 0.0000
0.0000 0.0000 4.9386
0.0000 1.9960 2.8802
0.0000 1.9960 6.9970
1.9960 0.0000 2.8802
1.9960 0.0000 6.9970
1.9960 1.9960 4.9386
1.9960 1.9960 1.2327
1.9960 1.9960 8.6446
```

---

## TaBe2Au (PBE)

Data for crystalline TaBe2Au at its relaxed geometry.

- calculated total energy (eV/atom) = -5.389
- calculated density (g/cm³) = 11.5
- energy of formation (eV per formula unit) = 1.03
- relative energy among the computed polymorphs (kcal/mol of atoms) = 7.58
- D(E_F) (states/eV per cell) = 2.187
- magnetic moment (μB/f.u.) = 0.000
- space group = R-3m

Structure (POSCAR):
```
TaBe2Au
1.0
1.4457 0.8347 7.8896
-1.4457 0.8347 7.8896
0.0000 -1.6693 7.8896
Ta Be Au
1 2 1
Cartesian
0.0000 0.0000 0.0000
0.0000 0.0000 5.8229
0.0000 0.0000 17.8458
0.0000 0.0000 11.8344
```

---

## TiNi2PdC (PBE)

Data for crystalline TiNi2PdC at its relaxed geometry.

- calculated total energy (eV/atom) = -6.979
- calculated density (g/cm³) = 7.9
- energy of formation (eV per formula unit) = -1.02
- D(E_F) (states/eV per cell) = 4.721
- magnetic moment (μB/f.u.) = 0.000
- space group = P4/mmm

Structure (POSCAR):
```
TiNi2PdC
1.0
3.8046 0.0000 0.0000
0.0000 3.8046 0.0000
0.0000 0.0000 4.1423
Ti Ni Pd C
1 2 1 1
Cartesian
0.0000 0.0000 0.0000
0.0000 1.9023 2.0711
1.9023 0.0000 2.0711
1.9023 1.9023 0.0000
0.0000 0.0000 2.0711
```

---

## Tb3InAs2Rh9 (PBE)

Data for crystalline Tb3InAs2Rh9 at its relaxed geometry.

- calculated total energy (eV/atom) = -6.552
- calculated density (g/cm³) = 8.6
- energy of formation (eV per formula unit) = -6.18
- D(E_F) (states/eV per cell) = 9.538
- magnetic moment (μB/f.u.) = 0.000
- space group = P-3m1

Structure (POSCAR):
```
Tb3InAs2Rh9
1.0
6.2341 0.0000 0.0000
-3.1170 5.3989 0.0000
0.0000 0.0000 9.5378
Tb In As Rh
3 1 2 9
Cartesian
0.0000 0.0000 0.0000
0.0000 3.5993 7.1277
3.1170 1.7996 2.4101
0.0000 0.0000 4.7689
0.0000 3.5993 1.5925
3.1170 1.7996 7.9453
-1.5585 2.6994 0.0000
0.0000 1.5138 2.4937
-1.8060 4.6420 2.4937
1.3110 0.7569 7.0441
3.1170 0.0000 0.0000
1.5585 2.6994 0.0000
1.8060 4.6420 2.4937
4.9231 0.7569 7.0441
3.1170 3.8850 7.0441
```

---

## Sb2PIN (PBE)

Data for crystalline Sb2PIN at its relaxed geometry.

- calculated total energy (eV/atom) = -3.673
- calculated density (g/cm³) = 6.3
- relative energy among the computed polymorphs (kcal/mol of atoms) = 0.00
- D(E_F) (states/eV per cell) = 3.680
- formation energy from raw total energies (eV/atom) = 1.03
- magnetic moment (μB/f.u.) = 0.000
- space group = P4/mmm

Structure (POSCAR):
```
Sb2PIN
1.0
4.8584 0.0000 0.0000
0.0000 4.8584 0.0000
0.0000 0.0000 4.6733
Sb P I N
2 1 1 1
Cartesian
0.0000 2.4292 0.0000
2.4292 0.0000 0.0000
0.0000 0.0000 2.3366
2.4292 2.4292 2.3366
2.4292 2.4292 0.0000
```

---

## HgHRh2 (PBE)

Data for crystalline HgHRh2 at its relaxed geometry.

- calculated total energy (eV/atom) = -4.446
- calculated density (g/cm³) = 13.2
- relative energy among the computed polymorphs (kcal/mol of atoms) = 0.31
- D(E_F) (states/eV per cell) = 4.305
- magnetic moment (μB/f.u.) = 0.721
- space group = R-3m

Structure (POSCAR):
```
HgHRh2
1.0
1.4606 0.8433 6.9506
-1.4606 0.8433 6.9506
0.0000 -1.6866 6.9506
Hg H Rh
1 1 2
Cartesian
0.0000 0.0000 0.0000
0.0000 0.0000 10.4259
0.0000 0.0000 4.5992
0.0000 0.0000 16.2527
```

---

## Ba3LiW (PBE)

Data for crystalline Ba3LiW at its relaxed geometry.

- calculated total energy (eV/atom) = -3.268
- calculated density (g/cm³) = 4.3
- energy of formation (eV per formula unit) = 4.30
- relative energy among the computed polymorphs (kcal/mol of atoms) = 0.00
- D(E_F) (states/eV per cell) = 3.470
- magnetic moment (μB/f.u.) = 0.000
- space group = Pm-3m

Structure (POSCAR):
```
Ba3LiW
1.0
6.1344 0.0000 0.0000
0.0000 6.1344 0.0000
0.0000 0.0000 6.1344
Ba Li W
3 1 1
Cartesian
0.0000 0.0000 3.0672
0.0000 3.0672 0.0000
3.0672 0.0000 0.0000
3.0672 3.0672 3.0672
0.0000 0.0000 0.0000
```

---

## HoZn4Cu2 (PBE)

Data for crystalline HoZn4Cu2 at its relaxed geometry.

- calculated total energy (eV/atom) = -2.783
- calculated density (g/cm³) = 8.4
- energy of formation (eV per formula unit) = -1.61
- relative energy among the computed polymorphs (kcal/mol of atoms) = 0.00
- D(E_F) (states/eV per cell) = 1.887
- magnetic moment (μB/f.u.) = 0.000
- space group = Immm

Structure (POSCAR):
```
HoZn4Cu2
1.0
-2.5015 3.2828 3.3161
2.5015 -3.2828 3.3161
2.5015 3.2828 -3.3161
Ho Zn Cu
1 4 2
Cartesian
0.0000 0.0000 0.0000
2.5015 1.2757 -1.2786
2.5015 1.2757 1.2786
0.0000 2.0072 2.0375
0.0000 2.0072 4.5947
1.2466 3.2828 0.0000
1.2550 0.0000 3.3161
```

---

Which value of magnetic moment does entry 10 give?
0.721 μB/f.u.